[1]
Pr2YHg: relaxed, PBE.

abc: 7.887 7.887 7.887
angles: 90.00 90.00 90.00
Space group Fm-3m (No. 225)
Inequivalent atoms, fractional coordinates:
1 Pr 0.250 0.250 0.250
2 Y 0.000 0.000 0.000
3 Hg 0.000 0.000 0.500

Results
Formation energy = -62 meV/atom
VASP energy = -4.14 eV/atom
V = 30.658 A^3/atom
Polymorph energy (0 for the lowest one) = 0.177 eV/atom
Total moment = 0.01 μB per formula unit
D(E_F) = 6.25 states/eV/f.u.

[2]
YMg2GaN: relaxed, PBE.

abc: 4.337 4.337 4.758
angles: 90.00 90.00 90.00
Space group P4/mmm (No. 123)
Inequivalent atoms, fractional coordinates:
1 Y 0.000 0.000 0.000
2 Mg 0.000 0.500 0.500
3 Ga 0.500 0.500 0.000
4 N 0.000 0.000 0.500

Results
Energy relative to the elements, uncorrected = -0.6368 eV per atom
VASP energy = -4.84 eV/atom
V = 17.902 A^3/atom
Total moment = 0.00 μB per formula unit
D(E_F) = 3.64 states/eV/f.u.

[3]
MgAlB2O: relaxed, PBE.

abc: 4.045 4.045 3.643
angles: 90.00 90.00 90.00
Space group P4/mmm (No. 123)
Inequivalent atoms, fractional coordinates:
1 Mg 0.000 0.000 0.000
2 Al 0.500 0.500 0.000
3 B 0.000 0.500 0.500
4 O 0.000 0.000 0.500

Results
Energy relative to the elements, uncorrected = 0.6781 eV per atom
VASP energy = -4.05 eV/atom
V = 11.920 A^3/atom
Total moment = 0.00 μB per formula unit
D(E_F) = 2.43 states/eV/f.u.

[4]
AcLaSmIn: relaxed, PBE.

abc: 8.117 8.117 8.117
angles: 90.00 90.00 90.00
Space group F-43m (No. 216)
Inequivalent atoms, fractional coordinates:
1 Ac 0.000 0.000 0.000
2 La 0.250 0.250 0.750
3 Sm 0.250 0.250 0.250
4 In 0.000 0.000 0.500

Results
Formation energy = -100 meV/atom
VASP energy = -4.22 eV/atom
V = 33.429 A^3/atom
Total moment = 0.00 μB per formula unit
D(E_F) = 7.31 states/eV/f.u.

[5]
ErTm5Al3: relaxed, PBE.

abc: 8.9535 8.9535 6.5521
angles: 90.00 90.00 120.00
Space group P6_3/mcm (No. 193)
Inequivalent atoms, fractional coordinates:
1 Er 0.0000 0.0000 0.0000
2 Tm 0.0000 0.3337 0.2500
3 Tm 0.3333 0.6667 0.0000
4 Al 0.0000 0.3334 0.7500

Results
Formation energy = -280 meV/atom
VASP energy = -4.52 eV/atom
V = 25.271 A^3/atom
Total moment = 0.00 μB per formula unit
D(E_F) = 7.88 states/eV/f.u.

[6]
PrInPd: relaxed, PBE.

abc: 6.854 6.854 6.854
angles: 90.00 90.00 90.00
Space group F-43m (No. 216)
Inequivalent atoms, fractional coordinates:
1 Pr 0.000 0.000 0.000
2 In 0.000 0.000 0.500
3 Pd 0.250 0.250 0.750

Results
Formation energy = -603 meV/atom
VASP energy = -4.84 eV/atom
V = 26.829 A^3/atom
Total moment = 0.00 μB per formula unit
D(E_F) = 4.74 states/eV/f.u.

[7]
Ca5InAu2: relaxed, PBE.

abc: 8.082 8.082 14.544
angles: 90.00 90.00 90.00
Space group I4/mcm (No. 140)
Inequivalent atoms, fractional coordinates:
1 Ca 0.000 0.000 0.000
2 Ca 0.167 0.333 0.141
3 In 0.000 0.000 0.250
4 Au 0.130 0.370 0.500

Results
Formation energy = -610 meV/atom
VASP energy = -3.02 eV/atom
V = 29.688 A^3/atom
Total moment = 0.00 μB per formula unit
D(E_F) = 4.62 states/eV/f.u.

[8]
Pr2EuSc: relaxed, PBE.

abc: 8.134 8.134 8.134
angles: 90.00 90.00 90.00
Space group Fm-3m (No. 225)
Inequivalent atoms, fractional coordinates:
1 Pr 0.250 0.250 0.250
2 Eu 0.000 0.000 0.000
3 Sc 0.000 0.000 0.500

Results
Formation energy = 138 meV/atom
VASP energy = -6.40 eV/atom
V = 33.638 A^3/atom
Polymorph energy (0 for the lowest one) = 0.084 eV/atom
Total moment = 7.58 μB per formula unit
D(E_F) = 6.33 states/eV/f.u.

[9]
AlCr2Co: relaxed, PBE.

abc: 4.751 8.170 2.515
angles: 90.00 104.64 90.00
Space group C2/m (No. 12)
Inequivalent atoms, fractional coordinates:
1 Al 0.000 0.000 0.000
2 Cr 0.250 0.250 0.500
3 Co 0.000 0.500 0.000

Results
Formation energy = -10 meV/atom
VASP energy = -7.53 eV/atom
V = 11.807 A^3/atom
Total moment = 0.00 μB per formula unit
D(E_F) = 4.22 states/eV/f.u.

[10]
TaCdTc2: relaxed, PBE.

abc: 2.907 2.907 8.098
angles: 90.00 90.00 90.00
Space group P4mm (No. 99)
Inequivalent atoms, fractional coordinates:
1 Ta 0.000 0.000 0.000
2 Cd 0.500 0.500 0.712
3 Tc 0.000 0.000 0.439
4 Tc 0.500 0.500 0.252

Results
Formation energy = 148 meV/atom
VASP energy = -8.23 eV/atom
V = 17.115 A^3/atom
Total moment = 0.00 μB per formula unit
D(E_F) = 3.00 states/eV/f.u.

[11]
Sm5US6: relaxed, PBE.

abc: 6.911 11.943 6.921
angles: 90.00 109.57 90.00
Space group C2/m (No. 12)
Inequivalent atoms, fractional coordinates:
1 Sm 0.000 0.000 0.000
2 Sm 0.000 0.168 0.500
3 Sm 0.000 0.328 0.000
4 U 0.000 0.500 0.500
5 S 0.244 0.500 0.250
6 S 0.245 0.337 0.745

Results
Energy relative to the elements, uncorrected = -1.8967 eV per atom
VASP energy = -6.87 eV/atom
V = 22.426 A^3/atom
Total moment = 2.80 μB per formula unit
D(E_F) = 11.60 states/eV/f.u.

[12]
Ca2InS: relaxed, PBE.

abc: 7.902 7.902 7.892
angles: 90.00 90.00 90.00
Space group I-42d (No. 122)
Inequivalent atoms, fractional coordinates:
1 Ca 0.197 0.750 0.125
2 In 0.000 0.000 0.500
3 S 0.000 0.000 0.000

Results
Energy relative to the elements, uncorrected = -0.8851 eV per atom
VASP energy = -3.60 eV/atom
V = 30.803 A^3/atom
Polymorph energy (0 for the lowest one) = 0.000 eV/atom
Total moment = 0.00 μB per formula unit
D(E_F) = 1.73 states/eV/f.u.

Q: What is the total moment in the fifth record?
A: 0.00 μB per formula unit

Q: Among the records above, which one has the highest D(E_F)?
A: Sm5US6